Entry 1:
A geometry-optimized Sn2BiSb structure, computed with PBE-GGA.

Energy above the lowest structure with this stoichiometry: 0.070 eV/atom
Density: 8.31 g/cm³
Electronic total energy: -15.6 eV for the cell shown
V: 28.377 Å³/atom
Total magnetization: 0.00 μB/cell
Formation energy (no corrections): 0.111 eV/atom

Cell and atoms, written as POSCAR:
```
Sn2BiSb
1.0
-1.2114 0.4381 3.6164
2.5296 -2.6412 1.1674
5.2589 5.5197 1.0929
Bi Sn Sb
1 2 1
direct
0.5000 0.5000 0.5000
0.0000 0.0000 0.2356
0.0000 0.0000 0.7644
0.5000 0.5000 0.0000
```

***

Entry 2:
A geometry-optimized Sm2YCd2Ag2 structure, computed with PBE-GGA.

Density: 7.60 g/cm³
Electronic total energy: -24.7 eV for the cell shown
V: 25.911 Å³/atom
Total magnetization: 0.00 μB/cell
Energy of formation from the pure elements: -0.18 eV/atom

Cell and atoms, written as POSCAR:
```
Sm2YCd2Ag2
1.0
-0.9517 4.7961 0.0787
-4.1160 1.7094 -2.0127
-5.8281 1.2215 7.0149
Ag Sm Cd Y
2 2 2 1
direct
0.6045 0.6045 0.1865
0.3955 0.3955 0.8135
0.8756 0.8756 0.3731
0.1244 0.1244 0.6269
0.7342 0.7342 0.7974
0.2658 0.2658 0.2026
0.0000 0.0000 0.0000
```

***

Entry 3:
A geometry-optimized NaPb2N structure, computed with PBE-GGA.

Density: 7.00 g/cm³
Electronic total energy: -31.7 eV for the cell shown
V: 26.780 Å³/atom
Total magnetization: 0.00 μB/cell
Formation energy (no corrections): 0.302 eV/atom

Cell and atoms, written as POSCAR:
```
NaPb2N
1.0
6.2350 0.0293 0.0656
0.0027 3.1868 -1.7016
0.1222 -0.3011 10.9445
Pb Na N
4 2 2
direct
0.8124 0.2761 0.1736
0.2428 0.9102 0.9298
0.3304 0.9507 0.2900
0.7250 0.2354 0.8133
0.7953 0.2485 0.4888
0.2605 0.9370 0.6145
0.1891 0.2751 0.1729
0.8661 0.9111 0.9305
```

***

Entry 4:
A geometry-optimized Mg2In2Hg3 structure, computed with PBE-GGA.

Density: 8.76 g/cm³
Electronic total energy: -10.3 eV for the cell shown
V: 23.831 Å³/atom
Total magnetization: 0.00 μB/cell
Energy of formation from the pure elements: -0.10 eV/atom

Cell and atoms, written as POSCAR:
```
Mg2In2Hg3
1.0
1.8941 -12.9819 0.0000
1.8941 12.9819 0.0000
0.0000 0.0000 3.3921
In Hg Mg
2 3 2
direct
0.2981 0.7019 0.5000
0.7019 0.2981 0.5000
0.8718 0.1282 0.0000
0.0000 0.0000 0.0000
0.1282 0.8718 0.0000
0.4349 0.5651 0.5000
0.5651 0.4349 0.5000
```

***

Entry 5:
A geometry-optimized La2Pm3Nd6Cd structure, computed with PBE-GGA.

Density: 6.90 g/cm³
Electronic total energy: -53.8 eV for the cell shown
V: 33.928 Å³/atom
Total magnetization: 0.00 μB/cell
Energy of formation from the pure elements: -0.02 eV/atom

Cell and atoms, written as POSCAR:
```
La2Pm3Nd6Cd
1.0
6.2964 -0.0047 -0.0129
-3.1507 5.4514 -0.0129
-1.0476 -1.8140 11.8754
Pm Nd Cd La
3 6 1 2
direct
0.5000 0.5000 0.5000
0.8329 0.1671 0.5000
0.1671 0.8329 0.5000
0.9182 0.5914 0.7513
0.0818 0.4086 0.2487
0.2450 0.2450 0.7497
0.7550 0.7550 0.2503
0.5914 0.9182 0.7513
0.4086 0.0818 0.2487
0.0000 0.0000 0.0000
0.6674 0.3326 0.0000
0.3326 0.6674 0.0000
```

***

Entry 6:
A geometry-optimized ZnHg2Rh structure, computed with PBE-GGA.

Density: 13.36 g/cm³
Electronic total energy: -8.9 eV for the cell shown
V: 17.693 Å³/atom
Total magnetization: 0.00 μB/cell
Energy of formation from the pure elements: 0.07 eV/atom

Cell and atoms, written as POSCAR:
```
ZnHg2Rh
1.0
4.2538 0.0000 0.0000
0.0000 4.2542 0.0000
0.0000 0.0000 3.9109
Hg Zn Rh
2 1 1
direct
0.5000 0.5000 0.0000
0.0000 0.0000 0.0000
0.0000 0.5000 0.5000
0.5000 0.0000 0.5000
```

***

> Which formula does entry 1 have?

Sn2BiSb

***

> Number 6 is which compound?

ZnHg2Rh

***

> Number 3 is which compound?

NaPb2N